1.
Compound: CeFe2CoO6
Source: Alexandria
Functional: PBE+U
Structure: optimized geometry

Cell: 5.435 5.147 9.725 Å, 90.00 118.55 90.00°
Fractional coordinates of all 20 atoms:
Ce  0.000  0.000  0.000
Ce  0.000  0.500  0.500
Fe  0.307  0.025  0.795
Fe  0.307  0.475  0.295
Fe  0.693  0.525  0.705
Fe  0.693  0.975  0.205
Co  0.500  0.000  0.500
Co  0.500  0.500  0.000
O  0.025  0.738  0.312
O  0.025  0.762  0.812
O  0.366  0.181  0.021
O  0.366  0.319  0.521
O  0.391  0.679  0.148
O  0.391  0.821  0.648
O  0.609  0.179  0.352
O  0.609  0.321  0.852
O  0.634  0.681  0.479
O  0.634  0.819  0.979
O  0.975  0.238  0.188
O  0.975  0.262  0.688

Computed properties:
Magnetic moment, μB per cell: 22.0
Volume, Å³ per cell: 238.93

=====

2.
Compound: CeFeCo2O6
Source: Alexandria
Functional: PBE+U
Structure: optimized geometry

Cell: 5.150 5.225 5.565 Å, 62.19 64.06 61.47°
Fractional coordinates of all 10 atoms:
Ce  0.000  0.000  0.000
Fe  0.479  0.482  0.558
Co  0.276  0.279  0.172
Co  0.789  0.801  0.614
O  0.079  0.664  0.819
O  0.214  0.571  0.343
O  0.430  0.091  0.837
O  0.570  0.878  0.364
O  0.663  0.447  0.820
O  0.872  0.193  0.369

Computed properties:
Magnetic moment, μB per cell: 4.0
Volume, Å³ per cell: 111.85

=====

Electronic total energy readings, ordered: -6.950, -6.713 eV/atom